# 1
Below is a relaxed structure of ZnReI2O, with properties calculated at the PBE level.

## Properties
SG: P4/mmm (123)
V in Å³ per cell: 119.7
Density of states at the Fermi level in states/eV/atom: 0.8771
Spin magnetization in Bohr magnetons per cell: 0.00
Uncorrected formation energy in meV per atom: -37
Density in Mg/m³: 7.23

a b c (Å): 5.631 5.631 3.774
angles (deg): 90.00 90.00 90.00
Atoms (fractional coordinates):
Zn 0.000 0.000 0.000
Re 0.500 0.500 0.500
I 0.000 0.500 0.500
I 0.500 0.000 0.500
O 0.500 0.500 0.000


# 2
Below is a relaxed structure of ZnReIO2, with properties calculated at the PBE level.

## Properties
SG: P4/mmm (123)
V in Å³ per cell: 93.8
Density of states at the Fermi level in states/eV/atom: 0.2917
Spin magnetization in Bohr magnetons per cell: 0.45
Uncorrected formation energy in meV per atom: -514
Density in Mg/m³: 7.27

a b c (Å): 3.862 3.862 6.290
angles (deg): 90.00 90.00 90.00
Atoms (fractional coordinates):
Zn 0.000 0.000 0.000
Re 0.500 0.500 0.500
I 0.500 0.500 0.000
O 0.000 0.500 0.500
O 0.500 0.000 0.500


# 3
Below is a relaxed structure of RhI2O2, with properties calculated at the PBE level.

## Properties
SG: P4/mmm (123)
V in Å³ per cell: 112.7
Density of states at the Fermi level in states/eV/atom: 1.4443
Spin magnetization in Bohr magnetons per cell: 0.09
Uncorrected formation energy in meV per atom: 506
Density in Mg/m³: 5.73

a b c (Å): 5.531 5.531 3.684
angles (deg): 90.00 90.00 90.00
Atoms (fractional coordinates):
Rh 0.000 0.000 0.000
I 0.000 0.500 0.000
I 0.500 0.000 0.000
O 0.000 0.000 0.500
O 0.500 0.500 0.500


# 4
Below is a relaxed structure of RhI2O, with properties calculated at the PBE level.

## Properties
SG: Fm-3m (225)
V in Å³ per cell: 73.0
Density of states at the Fermi level in states/eV/atom: 1.0913
Spin magnetization in Bohr magnetons per cell: 0.00
Uncorrected formation energy in meV per atom: 656
Density in Mg/m³: 8.48

a b c (Å): 4.691 4.691 4.691
angles (deg): 60.00 60.00 60.00
Atoms (fractional coordinates):
Rh 0.000 0.000 0.000
I 0.250 0.250 0.250
I 0.750 0.750 0.750
O 0.500 0.500 0.500


# 5
Below is a relaxed structure of RhI2O2, with properties calculated at the PBE level.

## Properties
SG: P4/mmm (123)
V in Å³ per cell: 100.3
Density of states at the Fermi level in states/eV/atom: 0.8296
Spin magnetization in Bohr magnetons per cell: 2.15
Uncorrected formation energy in meV per atom: 280
Density in Mg/m³: 6.44

a b c (Å): 4.146 4.146 5.832
angles (deg): 90.00 90.00 90.00
Atoms (fractional coordinates):
Rh 0.000 0.000 0.000
I 0.000 0.000 0.500
I 0.500 0.500 0.500
O 0.000 0.500 0.000
O 0.500 0.000 0.000


# 6
Below is a relaxed structure of Rh3IO, with properties calculated at the PBE level.

## Properties
SG: Pm-3m (221)
V in Å³ per cell: 78.8
Density of states at the Fermi level in states/eV/atom: 1.6263
Spin magnetization in Bohr magnetons per cell: 1.64
Uncorrected formation energy in meV per atom: 494
Density in Mg/m³: 9.51

a b c (Å): 4.288 4.288 4.288
angles (deg): 90.00 90.00 90.00
Atoms (fractional coordinates):
Rh 0.000 0.000 0.500
Rh 0.000 0.500 0.000
Rh 0.500 0.000 0.000
I 0.500 0.500 0.500
O 0.000 0.000 0.000


# 7
Below is a relaxed structure of Rh3IO, with properties calculated at the PBE level.

## Properties
SG: Pm-3m (221)
V in Å³ per cell: 117.1
Density of states at the Fermi level in states/eV/atom: 1.6843
Spin magnetization in Bohr magnetons per cell: 2.74
Uncorrected formation energy in meV per atom: 1699
Density in Mg/m³: 6.41

a b c (Å): 4.892 4.892 4.892
angles (deg): 90.00 90.00 90.00
Atoms (fractional coordinates):
Rh 0.000 0.000 0.500
Rh 0.000 0.500 0.000
Rh 0.500 0.000 0.000
I 0.000 0.000 0.000
O 0.500 0.500 0.500


# 8
Below is a relaxed structure of RhI2O, with properties calculated at the PBE level.

## Properties
SG: I-42d (122)
V in Å³ per cell: 196.8
Density of states at the Fermi level in states/eV/atom: 0.5045
Spin magnetization in Bohr magnetons per cell: 0.00
Uncorrected formation energy in meV per atom: 440
Density in Mg/m³: 6.29

a b c (Å): 7.450 7.450 7.450
angles (deg): 136.01 136.01 63.96
Atoms (fractional coordinates):
Rh 0.000 0.000 0.000
Rh 0.750 0.250 0.500
I 0.141 0.625 0.016
I 0.375 0.391 0.516
I 0.609 0.125 0.984
I 0.875 0.859 0.484
O 0.250 0.750 0.500
O 0.500 0.500 0.000


# 9
Below is a relaxed structure of RhIO4, with properties calculated at the PBE level.

## Properties
SG: P2_1/c (14)
V in Å³ per cell: 144.1
Density of states at the Fermi level in states/eV/atom: 0.2656
Spin magnetization in Bohr magnetons per cell: 0.00
Uncorrected formation energy in meV per atom: -331
Density in Mg/m³: 6.77

a b c (Å): 5.457 4.994 5.368
angles (deg): 90.00 99.90 90.00
Atoms (fractional coordinates):
Rh 0.000 0.000 0.000
Rh 0.000 0.500 0.500
I 0.500 0.000 0.500
I 0.500 0.500 0.000
O 0.153 0.225 0.757
O 0.153 0.275 0.257
O 0.337 0.664 0.639
O 0.337 0.836 0.139
O 0.663 0.164 0.861
O 0.663 0.336 0.361
O 0.847 0.725 0.743
O 0.847 0.775 0.243


# 10
Below is a relaxed structure of RhI2O2, with properties calculated at the PBE level.

## Properties
SG: P4/mmm (123)
V in Å³ per cell: 85.8
Density of states at the Fermi level in states/eV/atom: 0.7792
Spin magnetization in Bohr magnetons per cell: 0.00
Uncorrected formation energy in meV per atom: 938
Density in Mg/m³: 7.52

a b c (Å): 4.902 4.902 3.572
angles (deg): 90.00 90.00 90.00
Atoms (fractional coordinates):
Rh 0.000 0.000 0.000
I 0.000 0.500 0.500
I 0.500 0.000 0.500
O 0.500 0.500 0.000
O 0.500 0.500 0.500


# 11
Below is a relaxed structure of RhI2O2, with properties calculated at the PBE level.

## Properties
SG: P4/mmm (123)
V in Å³ per cell: 126.4
Density of states at the Fermi level in states/eV/atom: 1.2805
Spin magnetization in Bohr magnetons per cell: 1.10
Uncorrected formation energy in meV per atom: 375
Density in Mg/m³: 5.11

a b c (Å): 3.995 3.995 7.917
angles (deg): 90.00 90.00 90.00
Atoms (fractional coordinates):
Rh 0.000 0.000 0.000
I 0.500 0.500 0.000
I 0.500 0.500 0.500
O 0.000 0.500 0.500
O 0.500 0.000 0.500


# 12
Below is a relaxed structure of RuRhI2O, with properties calculated at the PBE level.

## Properties
SG: P4/mmm (123)
V in Å³ per cell: 116.2
Density of states at the Fermi level in states/eV/atom: 0.7759
Spin magnetization in Bohr magnetons per cell: 3.18
Uncorrected formation energy in meV per atom: 552
Density in Mg/m³: 6.77

a b c (Å): 5.600 5.600 3.706
angles (deg): 90.00 90.00 90.00
Atoms (fractional coordinates):
Ru 0.000 0.000 0.000
Rh 0.500 0.500 0.500
I 0.000 0.500 0.500
I 0.500 0.000 0.500
O 0.500 0.500 0.000


Question: What is the density of states at the Fermi level in the first record?
Answer: 0.8771 states/eV/atom


Copy entry 1 word for word.
Below is a relaxed structure of ZnReI2O, with properties calculated at the PBE level.

## Properties
SG: P4/mmm (123)
V in Å³ per cell: 119.7
Density of states at the Fermi level in states/eV/atom: 0.8771
Spin magnetization in Bohr magnetons per cell: 0.00
Uncorrected formation energy in meV per atom: -37
Density in Mg/m³: 7.23

a b c (Å): 5.631 5.631 3.774
angles (deg): 90.00 90.00 90.00
Atoms (fractional coordinates):
Zn 0.000 0.000 0.000
Re 0.500 0.500 0.500
I 0.000 0.500 0.500
I 0.500 0.000 0.500
O 0.500 0.500 0.000